1.
A plane-wave DFT calculation with GGA-PBE was carried out for RbSr2LaOs after structural relaxation.

Unit cell a=5.940 b=5.940 c=5.116 alpha=90.00 beta=90.00 gamma=90.00
Positions (direct):
Rb (0.000, 0.000, 0.000)
Sr (0.000, 0.500, 0.000)
Sr (0.500, 0.000, 0.000)
La (0.500, 0.500, 0.500)
Os (0.000, 0.000, 0.500)

Computed properties:
- electronic total energy (eV per atom) = -2.59
- D(E_F) (states/eV/atom) = 1.5946

***

2.
A plane-wave DFT calculation with GGA-PBE was carried out for RbLa2YOs after structural relaxation.

Unit cell a=5.760 b=5.760 c=5.677 alpha=90.00 beta=90.00 gamma=90.00
Positions (direct):
Rb (0.000, 0.000, 0.000)
La (0.000, 0.500, 0.500)
La (0.500, 0.000, 0.500)
Y (0.500, 0.500, 0.000)
Os (0.500, 0.500, 0.500)

Computed properties:
- electronic total energy (eV per atom) = -5.60
- D(E_F) (states/eV/atom) = 0.7781

***

3.
A plane-wave DFT calculation with GGA-PBE was carried out for La2ReOs after structural relaxation.

Unit cell a=7.466 b=7.466 c=7.466 alpha=33.07 beta=33.07 gamma=33.07
Positions (direct):
La (0.000, 0.000, 0.000)
La (0.193, 0.193, 0.193)
Re (0.417, 0.417, 0.417)
Os (0.776, 0.776, 0.776)

Computed properties:
- electronic total energy (eV per atom) = -8.38
- D(E_F) (states/eV/atom) = 1.3563

***

4.
A plane-wave DFT calculation with GGA-PBE was carried out for LaRe2Os after structural relaxation.

Unit cell a=4.640 b=4.640 c=4.640 alpha=60.00 beta=60.00 gamma=60.00
Positions (direct):
La (0.000, 0.000, 0.000)
Re (0.250, 0.250, 0.250)
Re (0.750, 0.750, 0.750)
Os (0.500, 0.500, 0.500)

Computed properties:
- electronic total energy (eV per atom) = -9.43
- D(E_F) (states/eV/atom) = 2.4314

***

5.
A plane-wave DFT calculation with GGA-PBE was carried out for LaReOs2 after structural relaxation.

Unit cell a=6.059 b=6.059 c=6.059 alpha=104.05 beta=104.05 gamma=120.97
Positions (direct):
La (0.000, 0.000, 0.000)
La (0.750, 0.250, 0.500)
Re (0.250, 0.750, 0.500)
Re (0.500, 0.500, 0.000)
Os (0.184, 0.625, 0.059)
Os (0.375, 0.434, 0.559)
Os (0.566, 0.125, 0.941)
Os (0.875, 0.816, 0.441)

Computed properties:
- electronic total energy (eV per atom) = -9.26
- D(E_F) (states/eV/atom) = 0.4244

***

6.
A plane-wave DFT calculation with GGA-PBE was carried out for LaRe2Os after structural relaxation.

Unit cell a=2.845 b=2.845 c=8.870 alpha=90.00 beta=90.00 gamma=90.00
Positions (direct):
La (0.000, 0.000, 0.000)
Re (0.500, 0.500, 0.295)
Re (0.500, 0.500, 0.705)
Os (0.000, 0.000, 0.500)

Computed properties:
- electronic total energy (eV per atom) = -9.82
- D(E_F) (states/eV/atom) = 1.1020

***

7.
A plane-wave DFT calculation with GGA-PBE was carried out for LaRe3Os after structural relaxation.

Unit cell a=4.798 b=4.798 c=4.798 alpha=90.00 beta=90.00 gamma=90.00
Positions (direct):
La (0.000, 0.000, 0.000)
Re (0.000, 0.500, 0.500)
Re (0.500, 0.000, 0.500)
Re (0.500, 0.500, 0.000)
Os (0.500, 0.500, 0.500)

Computed properties:
- electronic total energy (eV per atom) = -9.38
- D(E_F) (states/eV/atom) = 1.3365

***

8.
A plane-wave DFT calculation with GGA-PBE was carried out for La2ReOs after structural relaxation.

Unit cell a=3.077 b=4.057 c=8.189 alpha=90.00 beta=91.52 gamma=90.00
Positions (direct):
La (0.000, 0.000, 0.000)
La (0.203, 0.500, 0.592)
Re (0.782, 0.000, 0.342)
Os (0.404, 0.500, 0.242)

Computed properties:
- electronic total energy (eV per atom) = -8.10
- D(E_F) (states/eV/atom) = 1.3706